1.
Li2InIr (GGA-PBE, relaxed); energy relative to the elements = -0.122 eV/atom; symmetry = No. 47; DOS at the Fermi energy = 1.90 states/eV/f.u.; volume = 15.91 Å³ per atom
1.0
2.813 0.000 0.000
0.000 4.129 0.000
0.000 0.000 5.477
Li In Ir
2 1 1
Direct
0.000 0.000 0.214
0.000 0.000 0.786
0.500 0.500 0.500
0.500 0.500 0.000

2.
Ga2CoHg (GGA-PBE, relaxed); energy relative to the elements = 0.350 eV/atom; offset from the most stable computed form = 89 meV/atom; symmetry = No. 225; DOS at the Fermi energy = 1.79 states/eV/f.u.; volume = 16.34 Å³ per atom
1.0
6.395 0.000 0.000
0.000 6.395 0.000
0.000 0.000 6.395
Ga Co Hg
8 4 4
Direct
0.250 0.250 0.250
0.250 0.250 0.750
0.250 0.750 0.250
0.250 0.750 0.750
0.750 0.250 0.250
0.750 0.250 0.750
0.750 0.750 0.250
0.750 0.750 0.750
0.000 0.000 0.000
0.000 0.500 0.500
0.500 0.000 0.500
0.500 0.500 0.000
0.000 0.000 0.500
0.000 0.500 0.000
0.500 0.000 0.000
0.500 0.500 0.500